Entry 1:
This record from Alexandria describes a relaxed LiGeBSb2 crystal. The functional is PBE.

Summary:
Uncorrected energy, eV/atom: -3.7972
Formation energy without anion corrections, kJ/mol of formula units: 238
DOS(E_F), states/eV per cell: 2.49
Magnetization, μB per formula unit: 0.00
Symmetry: P4/mmm, No. 123

Lattice parameters (Å, degrees): 5.0052 5.0052 4.2878 90.00 90.00 90.00
Closest atoms and distances in Å follow each position.
Element x y z (fractional)
Li 0.0000 0.0000 0.0000  8 Sb 3.30, 4 Ge 3.54
Ge 0.5000 0.5000 0.0000  2 B 2.14
B 0.5000 0.5000 0.5000  2 Ge 2.14
Sb 0.0000 0.5000 0.5000  2 B 2.50
Sb 0.5000 0.0000 0.5000  2 B 2.50

=====

Entry 2:
This record from Alexandria describes a relaxed LaHoZn4 crystal. The functional is PBE.

Summary:
Formation enthalpy at 0 K, eV per atom: -0.3254
Uncorrected energy, eV/atom: -2.7589
DOS(E_F), states/eV per cell: 2.12
Magnetization, μB per formula unit: 0.00
Distance to the lowest polymorph of the same formula, eV per atom: 0.0216
Symmetry: F-43m, No. 216

Lattice parameters (Å, degrees): 5.5525 5.5525 5.5525 60.00 60.00 60.00
Closest atoms and distances in Å follow each position.
Element x y z (fractional)
La 0.0000 0.0000 0.0000  12 Zn 3.26, 4 Ho 3.40
Ho 0.7500 0.7500 0.7500  12 Zn 3.25, 4 La 3.40
Zn 0.3757 0.3757 0.3757  6 Zn 2.76-2.79
Zn 0.3757 0.3757 0.8729  6 Zn 2.76-2.79
Zn 0.3757 0.8729 0.3757  6 Zn 2.76-2.79
Zn 0.8729 0.3757 0.3757  6 Zn 2.76-2.79

=====

Entry 3:
This record from Alexandria describes a relaxed Cd2Mo2Os crystal. The functional is PBE.

Summary:
Formation enthalpy at 0 K, eV per atom: 1.0995
Uncorrected energy, eV/atom: -5.8450
DOS(E_F), states/eV per cell: 5.65
Magnetization, μB per formula unit: 0.00
Distance to the lowest polymorph of the same formula, eV per atom: 0.0155
Symmetry: I4/mmm, No. 139

Lattice parameters (Å, degrees): 7.8751 7.8751 7.8751 153.95 153.95 37.18
Closest atoms and distances in Å follow each position.
Element x y z (fractional)
Cd 0.0937 0.0937 0.0000  1 Cd 2.80, 4 Os 2.87, 4 Mo 2.93
Cd 0.9063 0.9063 0.0000  1 Cd 2.80, 4 Os 2.87, 4 Mo 2.93
Mo 0.2500 0.7500 0.5000  4 Mo 2.51
Mo 0.7500 0.2500 0.5000  4 Mo 2.51
Os 0.5000 0.5000 0.0000  8 Cd 2.87

=====

Entry 4:
This record from Alexandria describes a relaxed CaTmTlGa crystal. The functional is PBE.

Summary:
Formation enthalpy at 0 K, eV per atom: -0.4403
Uncorrected energy, eV/atom: -3.4069
DOS(E_F), states/eV per cell: 1.59
Magnetization, μB per formula unit: 0.00
Distance to the lowest polymorph of the same formula, eV per atom: 0.0000
Symmetry: P4mm, No. 99

Lattice parameters (Å, degrees): 3.6926 3.6926 7.4867 90.00 90.00 90.00
Closest atoms and distances in Å follow each position.
Element x y z (fractional)
Ca 0.0000 0.0000 0.0000  4 Ga 3.21, 4 Tl 3.32, 1 Tm 3.49
Tm 0.0000 0.0000 0.5343  4 Ga 3.07, 4 Tl 3.26
Tl 0.5000 0.5000 0.2744  4 Tm 3.26, 4 Ca 3.32, 1 Ga 3.57
Ga 0.5000 0.5000 0.7512  4 Tm 3.07, 4 Ca 3.21

=====

Entry 5:
This record from Alexandria describes a relaxed K2CaGaBi2 crystal. The functional is PBE.

Summary:
Formation enthalpy at 0 K, eV per atom: -0.4469
Uncorrected energy, eV/atom: -2.9445
DOS(E_F), states/eV per cell: 3.99
Magnetization, μB per formula unit: 0.00
Symmetry: Ibam, No. 72

Lattice parameters (Å, degrees): 9.9579 9.9579 9.9579 137.81 62.47 136.17
Closest atoms and distances in Å follow each position.
Element x y z (fractional)
K 0.1757 0.2361 0.4117  5 Bi 3.58-3.98, 2 Ga 3.91, 2 Ca 4.00
K 0.3243 0.7361 0.0604  5 Bi 3.58-3.98, 2 Ga 3.91, 2 Ca 4.00
K 0.6757 0.2639 0.9396  5 Bi 3.58-3.98, 2 Ga 3.91, 2 Ca 4.00
K 0.8243 0.7639 0.5883  5 Bi 3.58-3.98, 2 Ga 3.91, 2 Ca 4.00
Ca 0.2500 0.7500 0.5000  4 Bi 3.21, 2 Ga 3.58
Ca 0.7500 0.2500 0.5000  4 Bi 3.21, 2 Ga 3.58
Ga 0.2500 0.2500 0.0000  4 Bi 3.08
Ga 0.7500 0.7500 0.0000  4 Bi 3.08
Bi 0.1051 0.7658 0.8709  2 Ga 3.08, 2 Ca 3.21
Bi 0.3949 0.2658 0.6607  2 Ga 3.08, 2 Ca 3.21
Bi 0.6051 0.7342 0.3393  2 Ga 3.08, 2 Ca 3.21
Bi 0.8949 0.2342 0.1291  2 Ga 3.08, 2 Ca 3.21

=====

Entry 6:
This record from Alexandria describes a relaxed Rb2InSn6 crystal. The functional is PBE.

Summary:
Formation enthalpy at 0 K, eV per atom: -0.1363
Uncorrected energy, eV/atom: -3.3242
DOS(E_F), states/eV per cell: 4.97
Magnetization, μB per formula unit: 0.00
Symmetry: P-3m1, No. 164

Lattice parameters (Å, degrees): 7.0661 7.0661 6.7970 90.00 90.00 120.00
Closest atoms and distances in Å follow each position.
Element x y z (fractional)
Rb 0.3333 0.6667 0.1363  12 Sn 3.79-4.00, 3 In 4.18
Rb 0.6667 0.3333 0.8637  12 Sn 3.79-4.00, 3 In 4.18
In 0.0000 0.0000 0.0000  6 Sn 3.21
Sn 0.1779 0.3558 0.6538  4 Sn 3.02-3.29, 1 In 3.21
Sn 0.1779 0.8221 0.6538  4 Sn 3.02-3.29, 1 In 3.21
Sn 0.3558 0.1779 0.3462  4 Sn 3.02-3.29, 1 In 3.21
Sn 0.6442 0.8221 0.6538  4 Sn 3.02-3.29, 1 In 3.21
Sn 0.8221 0.1779 0.3462  4 Sn 3.02-3.29, 1 In 3.21
Sn 0.8221 0.6442 0.3462  4 Sn 3.02-3.29, 1 In 3.21

=====

Entry 7:
This record from Alexandria describes a relaxed LaZn2W crystal. The functional is PBE.

Summary:
Formation enthalpy at 0 K, eV per atom: 0.4358
Uncorrected energy, eV/atom: -4.6714
DOS(E_F), states/eV per cell: 3.85
Magnetization, μB per formula unit: 0.00
Distance to the lowest polymorph of the same formula, eV per atom: 0.1918
Symmetry: Imm2, No. 44

Lattice parameters (Å, degrees): 5.8700 5.8700 5.8700 151.16 126.47 61.94
Closest atoms and distances in Å follow each position.
Element x y z (fractional)
La 0.0000 0.0000 0.0000  2 La 2.92, 6 Zn 3.02-3.20, 2 W 3.06
Zn 0.4940 0.4940 0.0000  4 Zn 2.68-2.92, 2 W 2.72
Zn 0.7169 0.2169 0.5000  4 Zn 2.68-2.92
W 0.2665 0.7665 0.5000  2 Zn 2.72, 2 W 2.92

=====

Entry 8:
This record from Alexandria describes a relaxed SmDy2ErSc4 crystal. The functional is PBE.

Summary:
Formation enthalpy at 0 K, eV per atom: 0.0521
Uncorrected energy, eV/atom: -5.4245
DOS(E_F), states/eV per cell: 13.72
Magnetization, μB per formula unit: 0.00
Symmetry: P4/mmm, No. 123

Lattice parameters (Å, degrees): 4.8974 4.8974 9.3158 90.00 90.00 90.00
Closest atoms and distances in Å follow each position.
Element x y z (fractional)
Sm 0.0000 0.0000 0.0000  8 Sc 3.39, 4 Dy 3.46
Dy 0.0000 0.0000 0.5000  8 Sc 3.37, 4 Er 3.46
Dy 0.5000 0.5000 0.0000  8 Sc 3.39, 4 Sm 3.46
Er 0.5000 0.5000 0.5000  8 Sc 3.37, 4 Dy 3.46
Sc 0.0000 0.5000 0.2517  4 Dy 3.37-3.39, 2 Er 3.37, 2 Sm 3.39, 4 Sc 3.46
Sc 0.0000 0.5000 0.7483  2 Er 3.37, 4 Dy 3.37-3.39, 2 Sm 3.39, 4 Sc 3.46
Sc 0.5000 0.0000 0.2517  4 Dy 3.37-3.39, 2 Er 3.37, 2 Sm 3.39, 4 Sc 3.46
Sc 0.5000 0.0000 0.7483  2 Er 3.37, 4 Dy 3.37-3.39, 2 Sm 3.39, 4 Sc 3.46

=====

Entry 9:
This record from Alexandria describes a relaxed Dy5ErIn3 crystal. The functional is PBE.

Summary:
Formation enthalpy at 0 K, eV per atom: -0.3535
Uncorrected energy, eV/atom: -4.3300
DOS(E_F), states/eV per cell: 20.53
Magnetization, μB per formula unit: 0.00
Symmetry: P6_3/mcm, No. 193

Lattice parameters (Å, degrees): 9.3274 9.3274 6.7161 90.00 90.00 120.00
Closest atoms and distances in Å follow each position.
Element x y z (fractional)
Dy 0.0000 0.3332 0.2500  5 In 3.11-3.36
Dy 0.0000 0.6668 0.7500  5 In 3.11-3.36
Dy 0.3332 0.0000 0.2500  5 In 3.11-3.36
Dy 0.3332 0.3332 0.7500  5 In 3.11-3.36
Dy 0.3333 0.6667 0.0000  8 Dy 3.36-3.53, 6 In 3.54
Dy 0.3333 0.6667 0.5000  8 Dy 3.36-3.53, 6 In 3.54
Dy 0.6668 0.0000 0.7500  5 In 3.11-3.36
Dy 0.6667 0.3333 0.0000  8 Dy 3.36-3.53, 6 In 3.54
Dy 0.6667 0.3333 0.5000  8 Dy 3.36-3.53, 6 In 3.54
Dy 0.6668 0.6668 0.2500  5 In 3.11-3.36
Er 0.0000 0.0000 0.0000  2 Er 3.36, 6 In 3.53, 6 Dy 3.53
Er 0.0000 0.0000 0.5000  2 Er 3.36, 6 In 3.53, 6 Dy 3.53
In 0.0000 0.3327 0.7500  5 Dy 3.11-3.36
In 0.0000 0.6673 0.2500  5 Dy 3.11-3.36
In 0.3327 0.0000 0.7500  5 Dy 3.11-3.36
In 0.3327 0.3327 0.2500  5 Dy 3.11-3.36
In 0.6673 0.0000 0.2500  5 Dy 3.11-3.36
In 0.6673 0.6673 0.7500  5 Dy 3.11-3.36

=====

Entry 10:
This record from Alexandria describes a relaxed AcDy2Re crystal. The functional is PBE.

Summary:
Formation enthalpy at 0 K, eV per atom: 0.9521
Uncorrected energy, eV/atom: -5.4881
DOS(E_F), states/eV per cell: 5.69
Magnetization, μB per formula unit: 0.01
Symmetry: R-3m, No. 166

Lattice parameters (Å, degrees): 11.7184 11.7184 11.7184 16.68 16.68 16.68
Closest atoms and distances in Å follow each position.
Element x y z (fractional)
Ac 0.0000 0.0000 0.0000  6 Ac 3.40, 6 Dy 3.73
Dy 0.4249 0.4249 0.4249  1 Re 2.60
Dy 0.5751 0.5751 0.5751  1 Re 2.60
Re 0.5000 0.5000 0.5000  2 Dy 2.60

=====

Entry 11:
This record from Alexandria describes a relaxed Li2Zn2Ni4C crystal. The functional is PBE.

Summary:
Formation enthalpy at 0 K, eV per atom: -0.1145
Uncorrected energy, eV/atom: -4.4172
DOS(E_F), states/eV per cell: 2.14
Magnetization, μB per formula unit: 0.00
Symmetry: I4/mmm, No. 139

Lattice parameters (Å, degrees): 5.2756 5.2756 5.2756 121.98 121.98 86.60
Closest atoms and distances in Å follow each position.
Element x y z (fractional)
Li 0.2336 0.2336 0.0000  1 C 2.05
Li 0.7664 0.7664 0.0000  1 C 2.05
Zn 0.2500 0.7500 0.5000  4 Li 2.56, 8 Ni 2.64
Zn 0.7500 0.2500 0.5000  4 Li 2.56, 8 Ni 2.64
Ni 0.2474 0.2474 0.4948  1 C 1.83
Ni 0.2474 0.7526 0.0000  1 C 1.83
Ni 0.7526 0.2474 0.0000  1 C 1.83
Ni 0.7526 0.7526 0.5052  1 C 1.83
C 0.5000 0.5000 0.0000  4 Ni 1.83, 2 Li 2.05

=====

Entry 12:
This record from Alexandria describes a relaxed LaTa2Mo crystal. The functional is PBE.

Summary:
Formation enthalpy at 0 K, eV per atom: 0.3029
Uncorrected energy, eV/atom: -9.5631
DOS(E_F), states/eV per cell: 5.73
Magnetization, μB per formula unit: 0.00
Distance to the lowest polymorph of the same formula, eV per atom: 0.0968
Symmetry: P4mm, No. 99

Lattice parameters (Å, degrees): 3.2992 3.2992 7.7891 90.00 90.00 90.00
Closest atoms and distances in Å follow each position.
Element x y z (fractional)
La 0.0000 0.0000 0.0000  4 Mo 3.25, 4 La 3.30, 4 Ta 3.40
Ta 0.0000 0.0000 0.4730  4 Mo 2.73, 4 Ta 2.85
Ta 0.5000 0.5000 0.6825  4 Ta 2.85, 1 Mo 3.05
Mo 0.5000 0.5000 0.2906  5 Ta 2.73-3.05